9
Lattice="9.2564 0.0000 0.0000 -4.6282 8.0163 0.0000 0.0000 0.0000 5.7191" Properties=species:S:1:pos:R:3 comment="Ba2Mg | Alexandria | SCAN | single point on PBEsol structure" spacegroup="No. 189" volume_a3_per_cell=424.4 density_g_cm3=3.51 formation_enthalpy_0k_kcal_per_mol_atoms=0.41 pbc="T T T"
Ba -1.9193 3.3243 0.0000
Ba -3.4602 5.9932 2.8596
Ba 1.1680 2.0231 2.8596
Ba 3.8385 0.0000 0.0000
Ba 2.7090 4.6920 0.0000
Ba 6.9203 0.0000 2.8596
Mg 0.0000 0.0000 0.0000
Mg 0.0000 5.3442 2.8596
Mg 4.6282 2.6721 2.8596